[1]
DFT (GGA-PBE) results for a relaxed MgTe2 crystal.

POSCAR file:
```
MgTe2
1.0
5.352 0.000 0.000
0.000 5.352 0.000
0.000 0.000 3.218
Mg Te
1 2
Direct
0.000 0.000 0.000 Mg
0.500 0.000 0.500 Te
0.000 0.500 0.500 Te
```

Summary:
Formation energy without anion corrections: -0.162 eV/atom
Spin magnetization: 0.0 μB/cell
Crystal system: tetragonal

[2]
DFT (GGA-PBE) results for a relaxed MgTe2 crystal.

POSCAR file:
```
MgTe2
1.0
-3.320 3.320 3.812
3.320 -3.320 3.812
3.320 3.320 -3.812
Mg Te
2 4
Direct
0.250 0.250 0.000 Mg
0.750 0.750 0.000 Mg
0.651 0.849 0.500 Te
0.849 0.349 0.199 Te
0.349 0.151 0.500 Te
0.151 0.651 0.801 Te
```

Summary:
Formation energy without anion corrections: -0.397 eV/atom
Spin magnetization: 0.0 μB/cell
Crystal system: tetragonal

[3]
DFT (GGA-PBE) results for a relaxed MgTe2 crystal.

POSCAR file:
```
MgTe2
1.0
1.696 -8.474 0.000
1.696 8.474 0.000
0.000 0.000 5.955
Te Mg
4 2
Direct
0.518 0.482 0.250 Te
0.809 0.191 0.250 Te
0.482 0.518 0.750 Te
0.191 0.809 0.750 Te
0.834 0.166 0.750 Mg
0.166 0.834 0.250 Mg
```

Summary:
Formation energy without anion corrections: -0.426 eV/atom
Spin magnetization: 0.0 μB/cell
Crystal system: orthorhombic

> Which formula does entry 3 have?

MgTe2